[1]
An optimized crystal structure of Lu2Sc4In3N3. Source: OQMD, functional PBE.

Lattice parameters (Å, degrees): 5.7651 5.7651 15.2914 100.93 100.93 60.00
Sites, in units of the cell vectors:
N 0.5000 0.0000 0.5000
N 0.8319 0.3341 0.5000
N 0.6659 0.1681 0.0000
N 0.3341 0.8319 0.0000
N 0.0000 0.5000 0.0000
N 0.1681 0.6659 0.5000
In 0.4164 0.1981 0.2498
In 0.0309 0.9691 0.2500
In 0.5836 0.8019 0.7502
In 0.1981 0.4164 0.7498
In 0.8019 0.5836 0.2502
In 0.9691 0.0309 0.7500
Lu 0.5306 0.3650 0.5910
Lu 0.6350 0.4694 0.9090
Lu 0.3650 0.5306 0.0910
Lu 0.4694 0.6350 0.4090
Sc 0.3071 0.1416 0.9216
Sc 0.0249 0.1942 0.0784
Sc 0.9751 0.8058 0.9216
Sc 0.1942 0.0249 0.5784
Sc 0.8584 0.6929 0.5784
Sc 0.1416 0.3071 0.4216
Sc 0.6929 0.8584 0.0784
Sc 0.8058 0.9751 0.4216

E_tot = -6.7805 eV per atom



[2]
An optimized crystal structure of Lu4InSnN2. Source: OQMD, functional PBE.

Lattice parameters (Å, degrees): 3.4340 3.4340 15.1556 90.00 90.00 120.00
Sites, in units of the cell vectors:
Lu 0.0000 0.0000 0.3361
Lu 0.0000 0.0000 0.6639
Lu 0.6667 0.3333 0.1669
Lu 0.6667 0.3333 0.8331
Sn 0.6667 0.3333 0.5000
N 0.3333 0.6667 0.7475
N 0.3333 0.6667 0.2525
In 0.0000 0.0000 0.0000

E_tot = -6.3373 eV per atom



[3]
An optimized crystal structure of Lu4Ta2In3N3. Source: OQMD, functional PBE.

Lattice parameters (Å, degrees): 5.7919 5.7919 14.9941 90.10 101.13 119.71
Sites, in units of the cell vectors:
In 0.1340 0.8840 0.2500
In 0.4690 0.4171 0.7514
In 0.5310 0.5829 0.2486
In 0.8660 0.1160 0.7500
In 0.1657 0.7175 0.7486
In 0.8343 0.2825 0.2514
N 0.0000 0.5000 0.0000
N 0.3357 0.1726 0.0000
N 0.6725 0.3357 0.4999
N 0.0000 0.0000 0.5000
N 0.6643 0.8274 0.0000
N 0.3275 0.6643 0.5001
Ta 0.7159 0.5242 0.0724
Ta 0.2841 0.4758 0.9276
Ta 0.0482 0.3565 0.5724
Ta 0.9518 0.6435 0.4276
Lu 0.9473 0.8083 0.9118
Lu 0.3965 0.0355 0.5882
Lu 0.7194 0.6960 0.5882
Lu 0.3922 0.8689 0.0882
Lu 0.6078 0.1311 0.9118
Lu 0.6035 0.9645 0.4118
Lu 0.0527 0.1917 0.0882
Lu 0.2806 0.3040 0.4118

E_tot = -7.1859 eV per atom



[4]
An optimized crystal structure of Lu4TlInN2. Source: OQMD, functional PBE.

Lattice parameters (Å, degrees): 3.4334 3.4334 15.3496 90.00 90.00 120.00
Sites, in units of the cell vectors:
Lu 0.6667 0.3333 0.1657
Lu 0.6667 0.3333 0.8343
Lu 0.0000 0.0000 0.3334
Lu 0.0000 0.0000 0.6666
N 0.3333 0.6667 0.2503
N 0.3333 0.6667 0.7497
Tl 0.6667 0.3333 0.5000
In 0.0000 0.0000 0.0000

E_tot = -6.0501 eV per atom



[5]
An optimized crystal structure of Lu2In3W4N3. Source: OQMD, functional PBE.

Lattice parameters (Å, degrees): 5.6584 5.6584 14.0917 101.37 101.37 60.52
Sites, in units of the cell vectors:
N 0.8097 0.3443 0.5000
N 0.6557 0.1903 0.0000
N 0.0000 0.5000 0.0000
N 0.5000 0.0000 0.5000
N 0.3443 0.8097 0.0000
N 0.1903 0.6557 0.5000
Lu 0.5325 0.3668 0.6025
Lu 0.3668 0.5325 0.1025
Lu 0.6332 0.4675 0.8975
Lu 0.4675 0.6332 0.3975
W 0.3073 0.1289 0.9291
W 0.1289 0.3073 0.4291
W 0.8222 0.9578 0.4294
W 0.8711 0.6927 0.5709
W 0.0422 0.1778 0.0706
W 0.6927 0.8711 0.0709
W 0.9578 0.8222 0.9294
W 0.1778 0.0422 0.5706
In 0.0000 0.0000 0.2500
In 0.4189 0.1651 0.2519
In 0.8349 0.5811 0.2481
In 0.5811 0.8349 0.7481
In 0.0000 0.0000 0.7500
In 0.1651 0.4189 0.7519

E_tot = -8.1206 eV per atom



[6]
An optimized crystal structure of NaLuIn. Source: OQMD, functional PBE.

Lattice parameters (Å, degrees): 5.1372 5.1372 5.1372 60.00 60.00 60.00
Sites, in units of the cell vectors:
In 0.2500 0.2500 0.2500
Lu 0.0000 0.0000 0.0000
Na 0.7500 0.7500 0.7500

E_tot = -2.4416 eV per atom



[7]
An optimized crystal structure of NaLuInSe3. Source: OQMD, functional PBE.

Lattice parameters (Å, degrees): 7.4994 7.4994 10.8534 90.00 90.00 147.61
Sites, in units of the cell vectors:
Lu 0.0000 0.0000 0.0000
Lu 0.0000 0.0000 0.5000
Se 0.9119 0.0881 0.2500
Se 0.0881 0.9119 0.7500
Se 0.6341 0.3659 0.4623
Se 0.6341 0.3659 0.0377
Se 0.3659 0.6341 0.5377
Se 0.3659 0.6341 0.9623
Na 0.2517 0.7483 0.2500
Na 0.7483 0.2517 0.7500
In 0.5369 0.4631 0.2500
In 0.4631 0.5369 0.7500

E_tot = -4.1673 eV per atom



[8]
An optimized crystal structure of LuNbIn. Source: OQMD, functional PBE.

Lattice parameters (Å, degrees): 4.9010 4.9010 4.9010 60.00 60.00 60.00
Sites, in units of the cell vectors:
In 0.2500 0.2500 0.2500
Nb 0.7500 0.7500 0.7500
Lu 0.0000 0.0000 0.0000

polymorph energy (0 for the lowest one) = 0.241 eV/atom



[9]
An optimized crystal structure of Lu2NbIn. Source: OQMD, functional PBE.

Lattice parameters (Å, degrees): 5.0523 5.0523 5.0523 60.00 60.00 60.00
Sites, in units of the cell vectors:
Lu 0.7500 0.7500 0.7500
Lu 0.0000 0.0000 0.0000
Nb 0.2500 0.2500 0.2500
In 0.5000 0.5000 0.5000

E_tot = -5.3544 eV per atom



[10]
An optimized crystal structure of LuNbIn. Source: OQMD, functional PBE.

Lattice parameters (Å, degrees): 4.8632 4.8632 4.8632 60.00 60.00 60.00
Sites, in units of the cell vectors:
Lu 0.7500 0.7500 0.7500
In 0.2500 0.2500 0.2500
Nb 0.0000 0.0000 0.0000

polymorph energy (0 for the lowest one) = 0.000 eV/atom



[11]
An optimized crystal structure of LuNb2In. Source: OQMD, functional PBE.

Lattice parameters (Å, degrees): 4.8985 4.8985 4.8985 60.00 60.00 60.00
Sites, in units of the cell vectors:
In 0.5000 0.5000 0.5000
Nb 0.0000 0.0000 0.0000
Nb 0.7500 0.7500 0.7500
Lu 0.2500 0.2500 0.2500

E_tot = -6.7862 eV per atom



[12]
An optimized crystal structure of NdLuIn. Source: OQMD, functional PBE.

Lattice parameters (Å, degrees): 5.2119 5.2119 5.2119 60.00 60.00 60.00
Sites, in units of the cell vectors:
Lu 0.2500 0.2500 0.2500
In 0.0000 0.0000 0.0000
Nd 0.7500 0.7500 0.7500

polymorph energy (0 for the lowest one) = 0.000 eV/atom



[13]
An optimized crystal structure of LuInNi. Source: OQMD, functional PBE.

Lattice parameters (Å, degrees): 8.1205 8.1205 3.1904 90.00 90.00 120.00
Sites, in units of the cell vectors:
Lu 0.3006 0.0000 0.0000
Lu 0.6994 0.6994 0.0000
Lu 0.0000 0.3006 0.0000
In 0.6667 0.3333 0.0000
In 0.3333 0.6667 0.0000
In 0.0000 0.0000 0.5000
Ni 0.6328 0.0000 0.5000
Ni 0.3672 0.3672 0.5000
Ni 0.0000 0.6328 0.5000

E_tot = -4.2729 eV per atom



[14]
An optimized crystal structure of Lu2In8Ni. Source: OQMD, functional PBE.

Lattice parameters (Å, degrees): 4.6136 4.6136 12.0177 90.00 90.00 90.00
Sites, in units of the cell vectors:
In 0.5000 0.0000 0.8771
In 0.5000 0.0000 0.5000
In 0.0000 0.5000 0.1229
In 0.0000 0.5000 0.5000
In 0.0000 0.5000 0.8771
In 0.5000 0.5000 0.3085
In 0.5000 0.5000 0.6915
In 0.5000 0.0000 0.1229
Ni 0.0000 0.0000 0.0000
Lu 0.0000 0.0000 0.6905
Lu 0.0000 0.0000 0.3095

E_tot = -3.5919 eV per atom



[15]
An optimized crystal structure of Lu13InNi6. Source: OQMD, functional PBE.

Lattice parameters (Å, degrees): 8.0827 8.0827 8.0827 69.32 69.32 69.32
Sites, in units of the cell vectors:
Lu 0.3298 0.3298 0.9536
Lu 0.3849 0.7674 0.7674
Lu 0.6151 0.2326 0.2326
Lu 0.9536 0.3298 0.3298
Lu 0.7674 0.7674 0.3849
Lu 0.3298 0.9536 0.3298
Lu 0.0464 0.6702 0.6702
Lu 0.7674 0.3849 0.7674
Lu 0.6702 0.0464 0.6702
Lu 0.0000 0.0000 0.0000
Lu 0.6702 0.6702 0.0464
Lu 0.2326 0.6151 0.2326
Lu 0.2326 0.2326 0.6151
Ni 0.3660 0.9703 0.9703
Ni 0.9703 0.3660 0.9703
Ni 0.0297 0.6340 0.0297
Ni 0.9703 0.9703 0.3660
Ni 0.6340 0.0297 0.0297
Ni 0.0297 0.0297 0.6340
In 0.5000 0.5000 0.5000

E_tot = -5.1456 eV per atom



[16]
An optimized crystal structure of LuInNi2. Source: OQMD, functional PBE.

Lattice parameters (Å, degrees): 4.5732 4.5732 4.5732 60.00 60.00 60.00
Sites, in units of the cell vectors:
Ni 0.0000 0.0000 0.0000
Ni 0.7500 0.7500 0.7500
In 0.5000 0.5000 0.5000
Lu 0.2500 0.2500 0.2500

E_tot = -4.6868 eV per atom



[17]
An optimized crystal structure of LuInNi. Source: OQMD, functional PBE.

Lattice parameters (Å, degrees): 7.2619 7.2619 3.8110 90.00 90.00 120.00
Sites, in units of the cell vectors:
Lu 0.5897 0.0000 0.5000
Lu 0.4103 0.4103 0.5000
Lu 0.0000 0.5897 0.5000
In 0.7443 0.7443 0.0000
In 0.0000 0.2557 0.0000
In 0.2557 0.0000 0.0000
Ni 0.0000 0.0000 0.5000
Ni 0.3333 0.6667 0.0000
Ni 0.6667 0.3333 0.0000

E_tot = -4.7820 eV per atom



[18]
An optimized crystal structure of LuIn2Ni. Source: OQMD, functional PBE.

Lattice parameters (Å, degrees): 4.8500 4.8500 4.8500 60.00 60.00 60.00
Sites, in units of the cell vectors:
Ni 0.7500 0.7500 0.7500
Lu 0.5000 0.5000 0.5000
In 0.2500 0.2500 0.2500
In 0.0000 0.0000 0.0000

E_tot = -4.0519 eV per atom



[19]
An optimized crystal structure of Lu2InNi. Source: OQMD, functional PBE.

Lattice parameters (Å, degrees): 4.9205 4.9205 4.9205 60.00 60.00 60.00
Sites, in units of the cell vectors:
Ni 0.2500 0.2500 0.2500
Lu 0.0000 0.0000 0.0000
Lu 0.7500 0.7500 0.7500
In 0.5000 0.5000 0.5000

E_tot = -4.3999 eV per atom



[20]
An optimized crystal structure of LuInNi. Source: OQMD, functional PBE.

Lattice parameters (Å, degrees): 4.6755 4.6755 4.6755 60.00 60.00 60.00
Sites, in units of the cell vectors:
Ni 0.7500 0.7500 0.7500
Lu 0.0000 0.0000 0.0000
In 0.2500 0.2500 0.2500

E_tot = -3.9469 eV per atom